[1]
A crystal of CsTlOs3 relaxed with PBEsol. Source: Alexandria, functional SCAN.

a = 4.976 Å, b = 4.976 Å, c = 4.976 Å
α = 90.00°, β = 90.00°, γ = 90.00°
Fractional positions:
Cs 0.000 0.000 0.000
Tl 0.500 0.500 0.500
Os 0.000 0.000 0.500
Os 0.000 0.500 0.000
Os 0.500 0.000 0.000

## Properties
The value obtained for the energy of formation is 3.99 eV per atom.

[2]
A crystal of CsZn3Os relaxed with PBEsol. Source: Alexandria, functional SCAN.

a = 6.254 Å, b = 6.254 Å, c = 6.254 Å
α = 90.00°, β = 90.00°, γ = 90.00°
Fractional positions:
Cs 0.000 0.000 0.000
Zn 0.000 0.000 0.500
Zn 0.000 0.500 0.000
Zn 0.500 0.000 0.000
Os 0.500 0.500 0.500

## Properties
The value obtained for the energy of formation is 2.39 eV per atom.

[3]
A crystal of CsZnOs3 relaxed with PBEsol. Source: Alexandria, functional SCAN.

a = 4.678 Å, b = 4.678 Å, c = 4.678 Å
α = 90.00°, β = 90.00°, γ = 90.00°
Fractional positions:
Cs 0.000 0.000 0.000
Zn 0.500 0.500 0.500
Os 0.000 0.500 0.500
Os 0.500 0.000 0.500
Os 0.500 0.500 0.000

## Properties
The value obtained for the energy of formation is 2.56 eV per atom.

[4]
A crystal of CsZr2Os relaxed with PBEsol. Source: Alexandria, functional SCAN.

a = 4.903 Å, b = 4.903 Å, c = 4.903 Å
α = 60.00°, β = 60.00°, γ = 60.00°
Fractional positions:
Cs 0.000 0.000 0.000
Zr 0.250 0.250 0.250
Zr 0.750 0.750 0.750
Os 0.500 0.500 0.500

## Properties
The value obtained for the energy of formation is 0.99 eV per atom.

[5]
A crystal of CsP7 relaxed with PBEsol. Source: Alexandria, functional SCAN.

a = 9.048 Å, b = 9.393 Å, c = 9.607 Å
α = 90.00°, β = 90.00°, γ = 90.00°
Fractional positions:
Cs 0.213 0.250 0.000
Cs 0.213 0.250 0.500
Cs 0.787 0.750 0.000
Cs 0.787 0.750 0.500
P 0.083 0.681 0.250
P 0.083 0.819 0.750
P 0.161 0.626 0.633
P 0.161 0.626 0.867
P 0.161 0.874 0.133
P 0.161 0.874 0.367
P 0.254 0.525 0.250
P 0.254 0.975 0.750
P 0.395 0.675 0.590
P 0.395 0.675 0.910
P 0.395 0.825 0.090
P 0.395 0.825 0.410
P 0.443 0.663 0.250
P 0.443 0.837 0.750
P 0.557 0.163 0.250
P 0.557 0.337 0.750
P 0.605 0.175 0.590
P 0.605 0.175 0.910
P 0.605 0.325 0.090
P 0.605 0.325 0.410
P 0.746 0.025 0.250
P 0.746 0.475 0.750
P 0.839 0.126 0.633
P 0.839 0.126 0.867
P 0.839 0.374 0.133
P 0.839 0.374 0.367
P 0.917 0.181 0.250
P 0.917 0.319 0.750

## Properties
The value obtained for the energy of formation is -0.25 eV per atom.

[6]
A crystal of CsP3Pb relaxed with PBEsol. Source: Alexandria, functional SCAN.

a = 5.310 Å, b = 5.310 Å, c = 5.310 Å
α = 90.00°, β = 90.00°, γ = 90.00°
Fractional positions:
Cs 0.000 0.000 0.000
P 0.000 0.500 0.500
P 0.500 0.000 0.500
P 0.500 0.500 0.000
Pb 0.500 0.500 0.500

## Properties
The value obtained for the energy of formation is 0.85 eV per atom.

[7]
A crystal of Cs2RePPb relaxed with PBEsol. Source: Alexandria, functional SCAN.

a = 7.140 Å, b = 7.140 Å, c = 5.000 Å
α = 90.00°, β = 90.00°, γ = 90.00°
Fractional positions:
Cs 0.000 0.500 0.000
Cs 0.500 0.000 0.000
Re 0.000 0.000 0.500
P 0.500 0.500 0.500
Pb 0.500 0.500 0.000

## Properties
The value obtained for the energy of formation is 1.46 eV per atom.

[8]
A crystal of CsPPbS4 relaxed with PBEsol. Source: Alexandria, functional SCAN.

a = 17.730 Å, b = 6.682 Å, c = 6.422 Å
α = 90.00°, β = 90.00°, γ = 90.00°
Fractional positions:
Cs 0.210 0.250 0.010
Cs 0.290 0.750 0.510
Cs 0.710 0.250 0.490
Cs 0.790 0.750 0.990
P 0.092 0.750 0.778
P 0.408 0.250 0.278
P 0.592 0.750 0.722
P 0.908 0.250 0.222
Pb 0.018 0.750 0.286
Pb 0.482 0.250 0.786
Pb 0.518 0.750 0.214
Pb 0.982 0.250 0.714
S 0.021 0.250 0.152
S 0.114 0.504 0.598
S 0.114 0.996 0.598
S 0.157 0.750 0.038
S 0.343 0.250 0.538
S 0.386 0.004 0.098
S 0.386 0.496 0.098
S 0.479 0.750 0.652
S 0.521 0.250 0.348
S 0.614 0.504 0.902
S 0.614 0.996 0.902
S 0.657 0.750 0.462
S 0.843 0.250 0.962
S 0.886 0.004 0.402
S 0.886 0.496 0.402
S 0.979 0.750 0.848

## Properties
The formation energy from raw total energies comes out at -822 meV per atom.

Short version: energy = -305.9; -138.3; -254.2; -167.1; -450.3; -140.6; -225.6; -673.0 eV for the cell shown, in the order given.